[1]
Entry from Alexandria via LeMat-Bulk: crystalline TbAl3Ga3 at its relaxed geometry (GGA-PBE).

Summary:
- energy above the lowest structure with this stoichiometry (eV/atom) = 0.000
- ΔE_f (meV per atom) = -78
- magnetization (μB per atom) = 0.000
- uncorrected energy (eV per atom) = -3.641

Cell lengths 8.2959, 8.2959, 4.5913 Å; angles 90.00, 90.00, 120.00 degrees
With the nearest neighbours (Å) after each atom.
Sites, in units of the cell vectors:
Tb 0.3333 0.6667 0.2500  9 Al 3.02-3.05, 3 Ga 3.15
Tb 0.6667 0.3333 0.7500  9 Al 3.02-3.05, 3 Ga 3.15
Al 0.0796 0.4523 0.7500  4 Ga 2.85-3.07, 2 Al 2.95, 3 Tb 3.02-3.05
Al 0.3727 0.9204 0.7500  4 Ga 2.85-3.07, 2 Al 2.95, 3 Tb 3.02-3.05
Al 0.4523 0.3727 0.2500  4 Ga 2.85-3.07, 2 Al 2.95, 3 Tb 3.02-3.05
Al 0.5477 0.6273 0.7500  4 Ga 2.85-3.07, 2 Al 2.95, 3 Tb 3.02-3.05
Al 0.6273 0.0796 0.2500  4 Ga 2.85-3.07, 2 Al 2.95, 3 Tb 3.02-3.05
Al 0.9204 0.5477 0.2500  4 Ga 2.85-3.07, 2 Al 2.95, 3 Tb 3.02-3.05
Ga 0.0495 0.2357 0.2500  4 Al 2.85-3.07, 6 Ga 2.91-3.09, 1 Tb 3.15
Ga 0.1862 0.9505 0.2500  4 Al 2.85-3.07, 6 Ga 2.91-3.09, 1 Tb 3.15
Ga 0.2357 0.1862 0.7500  4 Al 2.85-3.07, 6 Ga 2.91-3.09, 1 Tb 3.15
Ga 0.7643 0.8138 0.2500  4 Al 2.85-3.07, 6 Ga 2.91-3.09, 1 Tb 3.15
Ga 0.8138 0.0495 0.7500  4 Al 2.85-3.07, 6 Ga 2.91-3.09, 1 Tb 3.15
Ga 0.9505 0.7643 0.7500  4 Al 2.85-3.07, 6 Ga 2.91-3.09, 1 Tb 3.15

***

[2]
Entry from Alexandria via LeMat-Bulk: crystalline Tb4Al7Ga6 at its relaxed geometry (GGA-PBE).

Summary:
- ΔE_f (meV per atom) = -458
- magnetization (μB per atom) = 0.000
- uncorrected energy (eV per atom) = -4.157

Cell lengths 7.5505, 7.5505, 7.5505 Å; angles 109.47, 109.47, 109.47 degrees
With the nearest neighbours (Å) after each atom.
Sites, in units of the cell vectors:
Tb 0.0000 0.0000 0.5000  6 Al 3.08, 6 Ga 3.12
Tb 0.0000 0.5000 0.0000  6 Al 3.08, 6 Ga 3.12
Tb 0.5000 0.0000 0.0000  6 Al 3.08, 6 Ga 3.12
Tb 0.5000 0.5000 0.5000  6 Al 3.08, 6 Ga 3.12
Al 0.0000 0.0000 0.0000  6 Ga 2.69
Al 0.2500 0.5000 0.7500  4 Ga 2.75
Al 0.2500 0.7500 0.5000  4 Ga 2.75
Al 0.5000 0.2500 0.7500  4 Ga 2.75
Al 0.5000 0.7500 0.2500  4 Ga 2.75
Al 0.7500 0.2500 0.5000  4 Ga 2.75
Al 0.7500 0.5000 0.2500  4 Ga 2.75
Ga 0.0000 0.3086 0.3086  5 Al 2.69-2.75
Ga 0.0000 0.6914 0.6914  5 Al 2.69-2.75
Ga 0.3086 0.0000 0.3086  5 Al 2.69-2.75
Ga 0.3086 0.3086 0.0000  5 Al 2.69-2.75
Ga 0.6914 0.0000 0.6914  5 Al 2.69-2.75
Ga 0.6914 0.6914 0.0000  5 Al 2.69-2.75

***

[3]
Entry from Alexandria via LeMat-Bulk: crystalline Tb2AlGa9 at its relaxed geometry (GGA-PBE).

Summary:
- ΔE_f (meV per atom) = -324
- magnetization (μB per atom) = 0.000
- uncorrected energy (eV per atom) = -3.677

Cell lengths 4.2534, 4.2534, 12.7124 Å; angles 90.00, 90.00, 90.00 degrees
With the nearest neighbours (Å) after each atom.
Sites, in units of the cell vectors:
Tb 0.0000 0.0000 0.1692  12 Ga 3.01-3.10
Tb 0.0000 0.0000 0.8308  12 Ga 3.01-3.10
Al 0.0000 0.0000 0.5000  12 Ga 2.89-3.01
Ga 0.0000 0.5000 0.0000  8 Ga 2.97-3.01, 4 Tb 3.02
Ga 0.0000 0.5000 0.3465  2 Al 2.89, 8 Ga 2.89-3.15, 2 Tb 3.10
Ga 0.0000 0.5000 0.6535  2 Al 2.89, 8 Ga 2.89-3.15, 2 Tb 3.10
Ga 0.5000 0.0000 0.0000  8 Ga 2.97-3.01, 4 Tb 3.02
Ga 0.5000 0.0000 0.3465  2 Al 2.89, 8 Ga 2.89-3.15, 2 Tb 3.10
Ga 0.5000 0.0000 0.6535  2 Al 2.89, 8 Ga 2.89-3.15, 2 Tb 3.10
Ga 0.5000 0.5000 0.1635  8 Ga 2.97-3.15, 4 Tb 3.01
Ga 0.5000 0.5000 0.5000  8 Ga 2.89, 4 Al 3.01
Ga 0.5000 0.5000 0.8365  8 Ga 2.97-3.15, 4 Tb 3.01

***

[4]
Entry from Alexandria via LeMat-Bulk: crystalline TbAl3Ga3 at its relaxed geometry (GGA-PBE).

Summary:
- energy above the lowest structure with this stoichiometry (eV/atom) = 0.343
- ΔE_f (meV per atom) = 265
- magnetization (μB per atom) = 0.000
- uncorrected energy (eV per atom) = -3.298

Cell lengths 6.9725, 6.9725, 6.9725 Å; angles 90.00, 90.00, 90.00 degrees
With the nearest neighbours (Å) after each atom.
Sites, in units of the cell vectors:
Tb 0.0000 0.0000 0.0000  12 Al 3.90, 12 Ga 3.90
Tb 0.5000 0.5000 0.5000  12 Al 3.90, 12 Ga 3.90
Al 0.0000 0.2500 0.5000  4 Ga 2.47
Al 0.0000 0.7500 0.5000  4 Ga 2.47
Al 0.2500 0.5000 0.0000  4 Ga 2.47
Al 0.5000 0.0000 0.2500  4 Ga 2.47
Al 0.5000 0.0000 0.7500  4 Ga 2.47
Al 0.7500 0.5000 0.0000  4 Ga 2.47
Ga 0.0000 0.5000 0.2500  4 Al 2.47
Ga 0.0000 0.5000 0.7500  4 Al 2.47
Ga 0.2500 0.0000 0.5000  4 Al 2.47
Ga 0.5000 0.2500 0.0000  4 Al 2.47
Ga 0.5000 0.7500 0.0000  4 Al 2.47
Ga 0.7500 0.0000 0.5000  4 Al 2.47

***

[5]
Entry from Alexandria via LeMat-Bulk: crystalline Tb6AlGa2 at its relaxed geometry (GGA-PBE).

Summary:
- ΔE_f (meV per atom) = -385
- magnetization (μB per atom) = 0.000
- uncorrected energy (eV per atom) = -4.560

Cell lengths 8.6213, 8.6213, 8.6213 Å; angles 111.89, 111.77, 104.85 degrees
With the nearest neighbours (Å) after each atom.
Sites, in units of the cell vectors:
Tb 0.0281 0.8226 0.2056  3 Ga 2.90-3.08
Tb 0.2415 0.5443 0.3028  2 Ga 2.94-3.26, 1 Al 3.17
Tb 0.2415 0.9387 0.6972  2 Ga 2.94-3.26, 1 Al 3.17
Tb 0.2739 0.3196 0.5935  3 Ga 3.07-3.12, 1 Al 3.17
Tb 0.2739 0.6804 0.9543  3 Ga 3.07-3.12, 1 Al 3.17
Tb 0.3830 0.1774 0.2056  3 Ga 2.90-3.08
Tb 0.6170 0.8226 0.7944  3 Ga 2.90-3.08
Tb 0.7261 0.3196 0.0457  3 Ga 3.07-3.12, 1 Al 3.17
Tb 0.7261 0.6804 0.4065  3 Ga 3.07-3.12, 1 Al 3.17
Tb 0.7585 0.0613 0.3028  2 Ga 2.94-3.26, 1 Al 3.17
Tb 0.7585 0.4557 0.6972  2 Ga 2.94-3.26, 1 Al 3.17
Tb 0.9719 0.1774 0.7944  3 Ga 2.90-3.08
Al 0.0000 0.5000 0.5000  8 Tb 3.17, 2 Ga 3.39
Al 0.5000 0.0000 0.5000  8 Tb 3.32-3.40
Ga 0.0000 0.1491 0.1491  1 Ga 2.88, 8 Tb 2.94-3.12
Ga 0.0000 0.8509 0.8509  1 Ga 2.88, 8 Tb 2.94-3.12
Ga 0.3786 0.3786 0.0000  1 Ga 2.55
Ga 0.6214 0.6214 0.0000  1 Ga 2.55

***

[6]
Entry from Alexandria via LeMat-Bulk: crystalline Tb2AlGa8 at its relaxed geometry (GGA-PBE).

Summary:
- ΔE_f (meV per atom) = -358
- magnetization (μB per atom) = 0.000
- uncorrected energy (eV per atom) = -3.741

Cell lengths 4.4152, 4.4152, 11.1935 Å; angles 90.00, 90.00, 90.00 degrees
With the nearest neighbours (Å) after each atom.
Sites, in units of the cell vectors:
Tb 0.0000 0.0000 0.1891  12 Ga 3.01-3.12
Tb 0.0000 0.0000 0.8109  12 Ga 3.01-3.12
Al 0.0000 0.0000 0.5000  8 Ga 2.63
Ga 0.0000 0.5000 0.0000  8 Ga 3.02-3.12, 4 Tb 3.06
Ga 0.0000 0.5000 0.3721  2 Al 2.63, 1 Ga 2.86
Ga 0.0000 0.5000 0.6279  2 Al 2.63, 1 Ga 2.86
Ga 0.5000 0.0000 0.0000  8 Ga 3.02-3.12, 4 Tb 3.06
Ga 0.5000 0.0000 0.3721  2 Al 2.63, 1 Ga 2.86
Ga 0.5000 0.0000 0.6279  2 Al 2.63, 1 Ga 2.86
Ga 0.5000 0.5000 0.1845  8 Ga 3.02-3.05, 4 Tb 3.12
Ga 0.5000 0.5000 0.8155  8 Ga 3.02-3.05, 4 Tb 3.12

***

[7]
Entry from Alexandria via LeMat-Bulk: crystalline Tb8Al2Ga at its relaxed geometry (GGA-PBE).

Summary:
- energy above the lowest structure with this stoichiometry (eV/atom) = 0.000
- ΔE_f (meV per atom) = -223
- magnetization (μB per atom) = 0.000
- uncorrected energy (eV per atom) = -4.546

Cell lengths 9.5481, 9.5481, 6.7594 Å; angles 103.11, 103.11, 30.90 degrees
With the nearest neighbours (Å) after each atom.
Sites, in units of the cell vectors:
Tb 0.0207 0.0207 0.2688  2 Ga 3.06, 1 Al 3.11, 1 Tb 3.39
Tb 0.2066 0.2066 0.8013  3 Al 3.08-3.27, 3 Tb 3.38-3.43
Tb 0.3432 0.3432 0.5319  1 Ga 2.94, 3 Al 3.08
Tb 0.4064 0.4064 0.0385  1 Ga 3.19, 3 Tb 3.35-3.43, 2 Al 3.39
Tb 0.5936 0.5936 0.9615  1 Ga 3.19, 3 Tb 3.35-3.43, 2 Al 3.39
Tb 0.6568 0.6568 0.4681  1 Ga 2.94, 3 Al 3.08
Tb 0.7934 0.7934 0.1987  3 Al 3.08-3.27, 3 Tb 3.38-3.43
Tb 0.9793 0.9793 0.7312  2 Ga 3.06, 1 Al 3.11, 1 Tb 3.39
Al 0.1868 0.1868 0.2417  9 Tb 3.08-3.39
Al 0.8132 0.8132 0.7583  9 Tb 3.08-3.39
Ga 0.5000 0.5000 0.5000  8 Tb 2.94-3.19

***

[8]
Entry from Alexandria via LeMat-Bulk: crystalline TbAl2Ga at its relaxed geometry (GGA-PBE).

Summary:
- ΔE_f (meV per atom) = -264
- magnetization (μB per atom) = 0.000
- uncorrected energy (eV per atom) = -4.050

Cell lengths 5.7454, 5.7454, 5.7454 Å; angles 44.29, 44.29, 44.29 degrees
With the nearest neighbours (Å) after each atom.
Sites, in units of the cell vectors:
Tb 0.0000 0.0000 0.0000  8 Al 3.10-3.34
Al 0.2149 0.2149 0.2149  3 Ga 2.61, 3 Al 2.92
Al 0.7851 0.7851 0.7851  3 Ga 2.61, 3 Al 2.92
Ga 0.5000 0.5000 0.5000  6 Al 2.61

***

[9]
Entry from Alexandria via LeMat-Bulk: crystalline Tb3Al7Ga4 at its relaxed geometry (GGA-PBE).

Summary:
- ΔE_f (meV per atom) = -415
- magnetization (μB per atom) = 0.000
- uncorrected energy (eV per atom) = -4.144

Cell lengths 8.2966, 8.2966, 9.8745 Å; angles 124.74, 124.74, 29.28 degrees
With the nearest neighbours (Å) after each atom.
Sites, in units of the cell vectors:
Tb 0.0000 0.0000 0.0000  6 Ga 3.15-3.18, 10 Al 3.38-3.50
Tb 0.3200 0.3200 0.3156  4 Ga 3.06-3.10, 10 Al 3.14-3.41
Tb 0.6800 0.6800 0.6844  4 Ga 3.06-3.10, 10 Al 3.14-3.41
Al 0.0000 0.0000 0.5000  2 Ga 2.74, 6 Al 2.98-3.00
Al 0.1542 0.1542 0.4238  3 Ga 2.64-2.70, 2 Al 2.81
Al 0.3250 0.3250 0.9755  4 Ga 2.55-2.69, 1 Al 2.77
Al 0.4904 0.4904 0.7072  3 Ga 2.59-2.72, 3 Al 2.77-2.81
Al 0.5096 0.5096 0.2928  3 Ga 2.59-2.72, 3 Al 2.77-2.81
Al 0.6750 0.6750 0.0245  4 Ga 2.55-2.69, 1 Al 2.77
Al 0.8458 0.8458 0.5762  3 Ga 2.64-2.70, 2 Al 2.81
Ga 0.1232 0.1232 0.8432  6 Al 2.56-2.74
Ga 0.3373 0.3373 0.7296  5 Al 2.55-2.70
Ga 0.6627 0.6627 0.2704  5 Al 2.55-2.70
Ga 0.8768 0.8768 0.1568  6 Al 2.56-2.74

***

[10]
Entry from Alexandria via LeMat-Bulk: crystalline Tb2Al3Ga3 at its relaxed geometry (GGA-PBE).

Summary:
- ΔE_f (meV per atom) = -477
- magnetization (μB per atom) = 0.000
- uncorrected energy (eV per atom) = -4.173

Cell lengths 4.2252, 4.2855, 8.6284 Å; angles 90.00, 90.00, 90.00 degrees
With the nearest neighbours (Å) after each atom.
Sites, in units of the cell vectors:
Tb 0.0000 0.0000 0.2475  6 Ga 3.00-3.01, 6 Al 3.03-3.06
Tb 0.0000 0.0000 0.7525  6 Ga 3.00-3.01, 6 Al 3.03-3.06
Al 0.0000 0.5000 0.0000  8 Ga 3.01-3.07, 4 Tb 3.03
Al 0.0000 0.5000 0.5000  4 Ga 2.97, 4 Al 3.01, 4 Tb 3.06
Al 0.5000 0.0000 0.5000  4 Ga 2.99, 4 Al 3.01, 4 Tb 3.03
Ga 0.5000 0.0000 0.0000  4 Tb 3.00, 4 Al 3.01, 4 Ga 3.09
Ga 0.5000 0.5000 0.2577  6 Al 2.97-3.07, 4 Tb 3.01, 2 Ga 3.09
Ga 0.5000 0.5000 0.7423  6 Al 2.97-3.07, 4 Tb 3.01, 2 Ga 3.09

***

Please write out number 1 again, unchanged.
Entry from Alexandria via LeMat-Bulk: crystalline TbAl3Ga3 at its relaxed geometry (GGA-PBE).

Summary:
- energy above the lowest structure with this stoichiometry (eV/atom) = 0.000
- ΔE_f (meV per atom) = -78
- magnetization (μB per atom) = 0.000
- uncorrected energy (eV per atom) = -3.641

Cell lengths 8.2959, 8.2959, 4.5913 Å; angles 90.00, 90.00, 120.00 degrees
With the nearest neighbours (Å) after each atom.
Sites, in units of the cell vectors:
Tb 0.3333 0.6667 0.2500  9 Al 3.02-3.05, 3 Ga 3.15
Tb 0.6667 0.3333 0.7500  9 Al 3.02-3.05, 3 Ga 3.15
Al 0.0796 0.4523 0.7500  4 Ga 2.85-3.07, 2 Al 2.95, 3 Tb 3.02-3.05
Al 0.3727 0.9204 0.7500  4 Ga 2.85-3.07, 2 Al 2.95, 3 Tb 3.02-3.05
Al 0.4523 0.3727 0.2500  4 Ga 2.85-3.07, 2 Al 2.95, 3 Tb 3.02-3.05
Al 0.5477 0.6273 0.7500  4 Ga 2.85-3.07, 2 Al 2.95, 3 Tb 3.02-3.05
Al 0.6273 0.0796 0.2500  4 Ga 2.85-3.07, 2 Al 2.95, 3 Tb 3.02-3.05
Al 0.9204 0.5477 0.2500  4 Ga 2.85-3.07, 2 Al 2.95, 3 Tb 3.02-3.05
Ga 0.0495 0.2357 0.2500  4 Al 2.85-3.07, 6 Ga 2.91-3.09, 1 Tb 3.15
Ga 0.1862 0.9505 0.2500  4 Al 2.85-3.07, 6 Ga 2.91-3.09, 1 Tb 3.15
Ga 0.2357 0.1862 0.7500  4 Al 2.85-3.07, 6 Ga 2.91-3.09, 1 Tb 3.15
Ga 0.7643 0.8138 0.2500  4 Al 2.85-3.07, 6 Ga 2.91-3.09, 1 Tb 3.15
Ga 0.8138 0.0495 0.7500  4 Al 2.85-3.07, 6 Ga 2.91-3.09, 1 Tb 3.15
Ga 0.9505 0.7643 0.7500  4 Al 2.85-3.07, 6 Ga 2.91-3.09, 1 Tb 3.15